# 1
This record from Alexandria via LeMat-Bulk describes a relaxed structure of Pm5Ni2Pt2. The functional is PBE-GGA.

The structure belongs to space group Cmce (No. 64); the cell edges are 15.105, 7.638 and 7.618 Å and the angles 90.00°, 90.00° and 90.00°. The inequivalent atoms are Pm at (0.000, 0.000, 0.000), Pm at (0.137, 0.174, 0.333), Ni at (0.000, 0.114, 0.612) and Pt at (0.201, 0.000, 0.000).

The calculated total energy comes out at -0.4341 Ry/atom. The calculated density is 9.31 g/cm³. Its formation energy is -639.3 meV per atom. For the density of states at the Fermi level, the calculation gives 28.460 states/eV per cell.

---

# 2
This record from Alexandria via LeMat-Bulk describes a relaxed structure of MnSbS4. The functional is PBE-GGA.

The structure belongs to space group P2/m (No. 10); the cell edges are 6.220, 3.541 and 6.837 Å and the angles 90.00°, 106.49° and 90.00°. The inequivalent atoms are Mn at (0.000, 0.000, 0.000), Sb at (0.500, 0.500, 0.000), S at (0.207, 0.500, 0.199) and S at (0.231, 0.000, 0.785).

The calculated total energy comes out at -0.3909 Ry/atom. For the energy relative to the elements, uncorrected, the calculation gives -0.351 eV per atom. The calculated density is 3.51 g/cm³. For the density of states at the Fermi level, the calculation gives 0.897 states/eV per cell.

---

# 3
This record from Alexandria via LeMat-Bulk describes a relaxed structure of BePS2I. The functional is PBE-GGA.

The structure belongs to space group P4/mmm (No. 123); the cell edges are 4.315, 4.315 and 4.825 Å and the angles 90.00°, 90.00° and 90.00°. The inequivalent atoms are Be at (0.000, 0.000, 0.000), P at (0.000, 0.000, 0.500), S at (0.000, 0.500, 0.000) and I at (0.500, 0.500, 0.500).

The calculated total energy comes out at -0.2367 Ry/atom. For the energy relative to the elements, uncorrected, the calculation gives 0.568 eV per atom. The calculated density is 4.27 g/cm³. For the density of states at the Fermi level, the calculation gives 3.365 states/eV per cell.

---

# 4
This record from Alexandria via LeMat-Bulk describes a relaxed structure of HgRhPb2. The functional is PBE-GGA.

The structure belongs to space group F-43m (No. 216); the cell edges are 7.222, 7.222 and 7.222 Å and the angles 90.00°, 90.00° and 90.00°. The inequivalent atoms are Hg at (0.000, 0.000, 0.000), Rh at (0.250, 0.250, 0.250), Pb at (0.000, 0.000, 0.500) and Pb at (0.250, 0.250, 0.750).

The calculated total energy comes out at -0.2537 Ry/atom. The calculated density is 12.66 g/cm³. Its formation energy is 315.7 meV per atom. For the density of states at the Fermi level, the calculation gives 8.358 states/eV per cell.

---

# 5
This record from Alexandria via LeMat-Bulk describes a relaxed structure of NaPd2O3. The functional is PBE-GGA.

The structure belongs to space group P-3m1 (No. 164); the cell edges are 6.1993, 6.1993 and 5.2563 Å and the angles 90.00°, 90.00° and 120.00°. The inequivalent atoms are Na at (0.3333, 0.6667, 0.0080), Pd at (0.0000, 0.0000, 0.5000), Pd at (0.0000, 0.5000, 0.5000) and O at (0.1689, 0.3378, 0.6918).

The calculated total energy comes out at -0.3776 Ry/atom. For the energy relative to the elements, uncorrected, the calculation gives -0.707 eV per atom. The calculated density is 5.39 g/cm³. For the density of states at the Fermi level, the calculation gives 1.061 states/eV per cell.

---

# 6
This record from Alexandria via LeMat-Bulk describes a relaxed structure of CdPt4Se. The functional is PBE-GGA.

The structure belongs to space group F-43m (No. 216); the cell edges are 7.577, 7.577 and 7.577 Å and the angles 90.00°, 90.00° and 90.00°. The inequivalent atoms are Cd at (0.000, 0.000, 0.000), Pt at (0.125, 0.125, 0.375) and Se at (0.250, 0.250, 0.750).

The calculated total energy comes out at -0.3379 Ry/atom. For the energy relative to the elements, uncorrected, the calculation gives 0.163 eV per atom. The calculated density is 14.84 g/cm³. For the density of states at the Fermi level, the calculation gives 17.522 states/eV per cell.

---

# 7
This record from Alexandria via LeMat-Bulk describes a relaxed structure of KAlSn3. The functional is PBE-GGA.

The structure belongs to space group C2/m (No. 12); the cell edges are 13.349, 6.626 and 8.255 Å and the angles 90.00°, 107.35° and 90.00°. The inequivalent atoms are K at (0.209, 0.000, 0.176), Al at (0.000, 0.500, 0.000), Al at (0.000, 0.500, 0.500), Sn at (0.045, 0.229, 0.767) and Sn at (0.157, 0.500, 0.326).

The calculated total energy comes out at -0.2448 Ry/atom. The calculated density is 4.02 g/cm³. Its formation energy is 38.5 meV per atom. For the density of states at the Fermi level, the calculation gives 3.459 states/eV per cell.

---

# 8
This record from Alexandria via LeMat-Bulk describes a relaxed structure of SmCoGe2Rh. The functional is PBE-GGA.

The structure belongs to space group I-4m2 (No. 119); the cell edges are 4.077, 4.077 and 10.406 Å and the angles 90.00°, 90.00° and 90.00°. The inequivalent atoms are Sm at (0.000, 0.000, 0.000), Co at (0.000, 0.500, 0.250), Ge at (0.000, 0.000, 0.375) and Rh at (0.000, 0.500, 0.750).

The calculated total energy comes out at -0.4716 Ry/atom. The calculated density is 8.78 g/cm³. Its formation energy is -734.8 meV per atom. For the density of states at the Fermi level, the calculation gives 4.743 states/eV per cell.

---

# 9
This record from Alexandria via LeMat-Bulk describes a relaxed structure of Ce3Co4Si2. The functional is PBE-GGA.

The structure belongs to space group C2/m (No. 12); the cell edges are 10.584, 4.105 and 7.096 Å and the angles 90.00°, 91.86° and 90.00°. The inequivalent atoms are Ce at (0.000, 0.000, 0.000), Ce at (0.120, 0.500, 0.373), Co at (0.077, 0.000, 0.667), Co at (0.232, 0.500, 0.105) and Si at (0.168, 0.500, 0.790).

The calculated total energy comes out at -0.5064 Ry/atom. For the energy relative to the elements, uncorrected, the calculation gives -0.549 eV per atom. The calculated density is 7.68 g/cm³. For the density of states at the Fermi level, the calculation gives 14.978 states/eV per cell.

---

# 10
This record from Alexandria via LeMat-Bulk describes a relaxed structure of Ti2Ni2Au. The functional is PBE-GGA.

The structure belongs to space group I4/mmm (No. 139); the cell edges are 4.122, 4.122 and 9.254 Å and the angles 90.00°, 90.00° and 90.00°. The inequivalent atoms are Ti at (0.000, 0.500, 0.250), Ni at (0.000, 0.000, 0.118) and Au at (0.000, 0.000, 0.500).

The calculated total energy comes out at -0.4595 Ry/atom. The calculated density is 8.66 g/cm³. Its formation energy is -125.4 meV per atom. For the density of states at the Fermi level, the calculation gives 8.793 states/eV per cell.

---

# 11
This record from Alexandria via LeMat-Bulk describes a relaxed structure of Pa2GaAs3. The functional is PBE-GGA.

The structure belongs to space group P-4m2 (No. 115); the cell edges are 4.024, 4.024 and 8.133 Å and the angles 90.00°, 90.00° and 90.00°. The inequivalent atoms are Pa at (0.000, 0.500, 0.210), Ga at (0.000, 0.000, 0.500), As at (0.000, 0.500, 0.851) and As at (0.500, 0.500, 0.500).

The calculated total energy comes out at -0.5024 Ry/atom. The calculated density is 9.54 g/cm³. Its formation energy is -840.9 meV per atom. For the density of states at the Fermi level, the calculation gives 3.346 states/eV per cell.

---

# 12
This record from Alexandria via LeMat-Bulk describes a relaxed structure of YBe2Mo. The functional is PBE-GGA.

The structure belongs to space group Pmmm (No. 47); the cell edges are 3.230, 3.241 and 5.826 Å and the angles 90.00°, 90.00° and 90.00°. The inequivalent atoms are Y at (0.000, 0.000, 0.000), Be at (0.500, 0.500, 0.322) and Mo at (0.000, 0.000, 0.500).

The calculated total energy comes out at -0.4503 Ry/atom. The calculated density is 5.52 g/cm³. Its formation energy is 60.9 meV per atom. For the density of states at the Fermi level, the calculation gives 2.228 states/eV per cell.

---

# 13
This record from Alexandria via LeMat-Bulk describes a relaxed structure of HfHRu2Br. The functional is PBE-GGA.

The structure belongs to space group P4/mmm (No. 123); the cell edges are 4.832, 4.832 and 3.264 Å and the angles 90.00°, 90.00° and 90.00°. The inequivalent atoms are Hf at (0.000, 0.000, 0.000), H at (0.500, 0.500, 0.000), Ru at (0.000, 0.500, 0.500) and Br at (0.500, 0.500, 0.500).

The calculated total energy comes out at -0.4350 Ry/atom. The calculated density is 10.06 g/cm³. For the density of states at the Fermi level, the calculation gives 3.309 states/eV per cell.

---

# 14
This record from Alexandria via LeMat-Bulk describes a relaxed structure of SmSiTc2H. The functional is PBE-GGA.

The structure belongs to space group Cmcm (No. 63); the cell edges are 3.362, 11.221 and 7.818 Å and the angles 90.00°, 90.00° and 90.00°. The inequivalent atoms are Sm at (0.000, 0.045, 0.250), Si at (0.000, 0.230, 0.750), Tc at (0.000, 0.339, 0.047) and H at (0.000, 0.500, 0.000).

The calculated total energy comes out at -0.5343 Ry/atom. The calculated density is 8.46 g/cm³. For the density of states at the Fermi level, the calculation gives 9.304 states/eV per cell.

---

# 15
This record from Alexandria via LeMat-Bulk describes a relaxed structure of Tb2Ho2Er5. The functional is PBE-GGA.

The structure belongs to space group P-1 (No. 2); the cell edges are 3.517, 8.322 and 10.004 Å and the angles 78.11°, 80.28° and 89.74°. The inequivalent atoms are Tb at (0.112, 0.313, 0.283), Ho at (0.320, 0.974, 0.853), Er at (0.080, 0.700, 0.364), Er at (0.284, 0.356, 0.929) and Er at (0.500, 0.000, 0.500).

The calculated total energy comes out at -0.3320 Ry/atom. The calculated density is 8.73 g/cm³. Its formation energy is 64.1 meV per atom. For the density of states at the Fermi level, the calculation gives 14.603 states/eV per cell.

---

# 16
This record from Alexandria via LeMat-Bulk describes a relaxed structure of Tm3ZrO. The functional is PBE-GGA.

The structure belongs to space group Pm-3m (No. 221); the cell edges are 4.761, 4.761 and 4.761 Å and the angles 90.00°, 90.00° and 90.00°. The inequivalent atoms are Tm at (0.000, 0.000, 0.500), Zr at (0.500, 0.500, 0.500) and O at (0.000, 0.000, 0.000).

The calculated total energy comes out at -0.4776 Ry/atom. For the energy relative to the elements, uncorrected, the calculation gives -1.114 eV per atom. The calculated density is 9.45 g/cm³. For the density of states at the Fermi level, the calculation gives 5.645 states/eV per cell.

---

# 17
This record from Alexandria via LeMat-Bulk describes a relaxed structure of TmCo5Ge3. The functional is PBE-GGA.

The structure belongs to space group Cmcm (No. 63); the cell edges are 3.890, 12.516 and 10.613 Å and the angles 90.00°, 90.00° and 90.00°. The inequivalent atoms are Tm at (0.000, 0.227, 0.250), Co at (0.000, 0.000, 0.000), Co at (0.000, 0.188, 0.560), Co at (0.000, 0.452, 0.132), Ge at (0.000, 0.083, 0.750) and Ge at (0.000, 0.370, 0.563).

The calculated total energy comes out at -0.4614 Ry/atom. The calculated density is 8.76 g/cm³. Its formation energy is -294.3 meV per atom. For the density of states at the Fermi level, the calculation gives 33.902 states/eV per cell.

---

# 18
This record from Alexandria via LeMat-Bulk describes a relaxed structure of Mn2AuBr. The functional is PBE-GGA.

The structure belongs to space group I-42d (No. 122); the cell edges are 7.059, 7.059 and 7.010 Å and the angles 90.00°, 90.00° and 90.00°. The inequivalent atoms are Mn at (0.244, 0.750, 0.125), Au at (0.000, 0.000, 0.000) and Br at (0.000, 0.000, 0.500).

The calculated total energy comes out at -0.4028 Ry/atom. For the energy relative to the elements, uncorrected, the calculation gives 0.341 eV per atom. The calculated density is 7.35 g/cm³. For the density of states at the Fermi level, the calculation gives 8.803 states/eV per cell.

---

# 19
This record from Alexandria via LeMat-Bulk describes a relaxed structure of AgSN2O. The functional is PBE-GGA.

The structure belongs to space group P4/mmm (No. 123); the cell edges are 3.915, 3.915 and 3.925 Å and the angles 90.00°, 90.00° and 90.00°. The inequivalent atoms are Ag at (0.000, 0.000, 0.000), S at (0.500, 0.500, 0.000), N at (0.000, 0.500, 0.500) and O at (0.500, 0.500, 0.500).

The calculated total energy comes out at -0.2619 Ry/atom. For the energy relative to the elements, uncorrected, the calculation gives 2.154 eV per atom. The calculated density is 5.08 g/cm³. For the density of states at the Fermi level, the calculation gives 1.821 states/eV per cell.

---

# 20
This record from Alexandria via LeMat-Bulk describes a relaxed structure of Li2HgAu. The functional is PBE-GGA.

The structure belongs to space group P4/mmm (No. 123); the cell edges are 3.311, 3.311 and 6.127 Å and the angles 90.00°, 90.00° and 90.00°. The inequivalent atoms are Li at (0.000, 0.000, 0.230), Hg at (0.500, 0.500, 0.500) and Au at (0.500, 0.500, 0.000).

The calculated total energy comes out at -0.1693 Ry/atom. The calculated density is 10.17 g/cm³. Its formation energy is -451.3 meV per atom. For the density of states at the Fermi level, the calculation gives 1.397 states/eV per cell.